<1>
Density functional theory data (PBE) for a relaxed CaTiSb2 crystal.

Cell lengths 5.1674, 5.1674, 5.1674 Å; angles 60.00, 60.00, 60.00 degrees
Closest atoms and distances in Å follow each position.
Atoms (fractional coordinates):
Sb  0.7500  0.7500  0.7500  4 Ca 3.16, 4 Ti 3.16
Sb  0.2500  0.2500  0.2500  4 Ca 3.16, 4 Ti 3.16
Ti  0.5000  0.5000  0.5000  8 Sb 3.16
Ca  0.0000  0.0000  0.0000  8 Sb 3.16

Summary:
Size of the total moment: 1.603 μB per formula unit
Theoretical density: 5.6 Mg/m³



<2>
Density functional theory data (PBE) for a relaxed CaTiSb2 crystal.

Cell lengths 4.0985, 4.0985, 7.7258 Å; angles 74.62, 74.62, 60.00 degrees
Closest atoms and distances in Å follow each position.
Atoms (fractional coordinates):
Sb  0.2633  0.2633  0.2101  3 Ti 2.85
Sb  0.0699  0.0699  0.7904  3 Ti 2.80
Ca  0.4985  0.4985  0.5046  6 Sb 3.17-3.21
Ti  0.6684  0.6684  0.9949  6 Sb 2.80-2.85

Summary:
Size of the total moment: 0.000 μB per formula unit
Theoretical density: 5.1 Mg/m³



Of them, <1> has the lowest stability.



<1>
Density functional theory data (PBE) for a relaxed CaTiSb2 crystal.

Cell lengths 4.0858, 4.0858, 7.6832 Å; angles 74.58, 74.58, 60.00 degrees
Closest atoms and distances in Å follow each position.
Atoms (fractional coordinates):
Sb  0.7377  0.7377  0.7868  3 Ti 2.83, 3 Ca 3.16
Sb  0.2623  0.2623  0.2132  3 Ti 2.83, 3 Ca 3.16
Ca  0.5000  0.5000  0.5000  6 Sb 3.16
Ti  0.0000  0.0000  0.0000  6 Sb 2.83

Summary:
Size of the total moment: 0.000 μB per formula unit
Theoretical density: 5.2 Mg/m³



<2>
Density functional theory data (PBE) for a relaxed CaTiSb2 crystal.

Cell lengths 7.9056, 7.9056, 6.6007 Å; angles 53.21, 53.21, 90.00 degrees
Closest atoms and distances in Å follow each position.
Atoms (fractional coordinates):
Ti  0.0000  0.0000  0.0000  4 Sb 2.76
Ti  0.7500  0.2500  0.5000  4 Sb 2.76
Ca  0.2500  0.7500  0.5000  4 Sb 3.11
Ca  0.5000  0.5000  0.0000  4 Sb 3.11
Sb  0.8750  0.9086  0.7500  2 Ti 2.76
Sb  0.6586  0.1250  0.2500  2 Ti 2.76
Sb  0.3750  0.3414  0.7500  2 Ti 2.76
Sb  0.0914  0.6250  0.2500  2 Ti 2.76

Summary:
Size of the total moment: 0.637 μB per formula unit
Theoretical density: 5.0 Mg/m³



Of them, <2> has the lowest stability.